# 1
An optimized crystal structure of Hg4Se. Source: the Alexandria database, functional PBE.

Calculated values
distance to the lowest polymorph of the same formula: 0.62 eV per formula unit
DOS at the Fermi energy: 5.52 states/eV/cell
energy relative to the elements, uncorrected: 0.176 eV/atom

Cell lengths 5.8002, 5.8002, 5.8002 Å; angles 90.00, 90.00, 90.00 degrees
Fractional positions:
Hg (0.5000, 0.0000, 0.5000)
Hg (0.0000, 0.0000, 0.0000)
Hg (0.5000, 0.5000, 0.0000)
Hg (0.0000, 0.5000, 0.5000)
Se (0.5000, 0.5000, 0.5000)

# 2
An optimized crystal structure of Hg5Se. Source: the Alexandria database, functional PBE.

Calculated values
DOS at the Fermi energy: 5.30 states/eV/cell
energy relative to the elements, uncorrected: 0.242 eV/atom

Cell lengths 6.1070, 6.1070, 6.1070 Å; angles 60.00, 60.00, 60.00 degrees
Fractional positions:
Se (0.0000, 0.0000, 0.0000)
Hg (0.6253, 0.1241, 0.6253)
Hg (0.2500, 0.2500, 0.2500)
Hg (0.6253, 0.6253, 0.1241)
Hg (0.1241, 0.6253, 0.6253)
Hg (0.6253, 0.6253, 0.6253)

# 3
An optimized crystal structure of Hg4Se5. Source: the Alexandria database, functional PBE.

Calculated values
distance to the lowest polymorph of the same formula: 0.39 eV per formula unit
DOS at the Fermi energy: 2.08 states/eV/cell
energy relative to the elements, uncorrected: 0.267 eV/atom

Cell lengths 8.8256, 8.8256, 8.8256 Å; angles 91.94, 91.94, 158.80 degrees
Fractional positions:
Se (0.6966, 0.6966, 0.3932)
Se (0.6966, 0.3034, 0.0000)
Se (0.0000, 0.0000, 0.0000)
Hg (0.0000, 0.6615, 0.6615)
Hg (0.3385, 0.0000, 0.3385)
Se (0.3034, 0.6966, 0.0000)
Hg (0.0000, 0.3385, 0.3385)
Se (0.3034, 0.3034, 0.6068)
Hg (0.6615, 0.0000, 0.6615)

# 4
An optimized crystal structure of HgSe2. Source: the Alexandria database, functional PBE.

Calculated values
distance to the lowest polymorph of the same formula: 0.24 eV per formula unit
DOS at the Fermi energy: 2.83 states/eV/cell
energy relative to the elements, uncorrected: 0.059 eV/atom

Cell lengths 7.1044, 7.1044, 7.1044 Å; angles 146.15, 129.20, 62.45 degrees
Fractional positions:
Se (0.9778, 0.0000, 0.9778)
Hg (0.6140, 0.6804, 0.9336)
Se (0.7374, 0.3365, 0.4010)
Se (0.3626, 0.0000, 0.3626)
Hg (0.2532, 0.3196, 0.9336)
Se (0.0645, 0.6635, 0.4010)

# 5
An optimized crystal structure of HgSe2. Source: the Alexandria database, functional PBE.

Calculated values
distance to the lowest polymorph of the same formula: 0.37 eV per formula unit
DOS at the Fermi energy: 1.78 states/eV/cell
energy relative to the elements, uncorrected: 0.101 eV/atom

Cell lengths 6.3899, 6.3899, 6.3899 Å; angles 126.20, 126.20, 79.56 degrees
Fractional positions:
Se (0.3816, 0.3816, 0.0000)
Se (0.1316, 0.6316, 0.5000)
Hg (0.0000, 0.0000, 0.0000)
Se (0.6184, 0.6184, 0.0000)
Se (0.3684, 0.8684, 0.5000)
Hg (0.7500, 0.2500, 0.5000)

# 6
An optimized crystal structure of HgSe5. Source: the Alexandria database, functional PBE.

Calculated values
distance to the lowest polymorph of the same formula: 0.50 eV per formula unit
DOS at the Fermi energy: 2.38 states/eV/cell
energy relative to the elements, uncorrected: 0.190 eV/atom

Cell lengths 8.2019, 8.2019, 3.7134 Å; angles 90.00, 90.00, 139.53 degrees
Fractional positions:
Se (0.1343, 0.8657, 0.0000)
Hg (0.5000, 0.5000, 0.0000)
Se (0.0000, 0.0000, 0.5000)
Se (0.2485, 0.7515, 0.5000)
Se (0.8657, 0.1343, 0.0000)
Se (0.7515, 0.2485, 0.5000)

# 7
An optimized crystal structure of Hg3Se. Source: the Alexandria database, functional PBE.

Calculated values
DOS at the Fermi energy: 1.91 states/eV/cell
energy relative to the elements, uncorrected: 0.110 eV/atom

Cell lengths 2.9545, 2.9545, 12.2429 Å; angles 90.00, 90.00, 90.26 degrees
Fractional positions:
Hg (0.5000, 0.5000, 0.7500)
Hg (0.0000, 0.0000, 0.4942)
Se (0.5000, 0.5000, 0.2500)
Hg (0.0000, 0.0000, 0.0058)

# 8
An optimized crystal structure of HgSe3. Source: the Alexandria database, functional PBE.

Calculated values
DOS at the Fermi energy: 2.27 states/eV/cell
energy relative to the elements, uncorrected: 0.172 eV/atom

Cell lengths 2.7548, 7.7219, 5.5318 Å; angles 90.00, 90.00, 90.00 degrees
Fractional positions:
Se (0.0000, 0.0000, 0.5000)
Se (0.5000, 0.5000, 0.2133)
Hg (0.0000, 0.0000, 0.0000)
Se (0.5000, 0.5000, 0.7867)